--- P ---
## AcNdInPb (PBE-GGA)

Data for a relaxed AcNdInPb crystal.

Calculated density: 8796 kg/m3
Total moment: 0.000 μB per formula unit
Space-group type: F-43m (216)

Cell: 5.699 5.699 5.699 Å, 60.00 60.00 60.00°
Element x y z (fractional)
Ac (0.000, 0.000, 0.000)
Nd (0.500, 0.500, 0.500)
In (0.750, 0.750, 0.750)
Pb (0.250, 0.250, 0.250)


--- Q ---
## AcNdInPb (PBE-GGA)

Data for a relaxed AcNdInPb crystal.

Calculated density: 8402 kg/m3
Total moment: 0.004 μB per formula unit
Space-group type: Amm2 (38)

Cell: 4.567 6.624 6.624 Å, 43.14 90.00 90.00°
Element x y z (fractional)
Ac (0.000, 0.000, 0.000)
Nd (0.500, 0.725, 0.725)
In (0.500, 0.442, 0.442)
Pb (0.000, 0.275, 0.275)


Stability verdict: Q, ahead by 60 meV/atom


--- P ---
## AcIn4Ni4 (PBE-GGA)

Data for a relaxed AcIn4Ni4 crystal.

Calculated density: 8516 kg/m3
Total moment: 0.000 μB per formula unit
Space-group type: P4_2/nmc (137)

Cell: 6.390 6.390 8.796 Å, 90.00 90.00 90.00°
Element x y z (fractional)
Ac (0.250, 0.750, 0.250)
Ac (0.750, 0.250, 0.750)
In (0.007, 0.250, 0.122)
In (0.250, 0.007, 0.622)
In (0.250, 0.493, 0.622)
In (0.493, 0.250, 0.122)
In (0.507, 0.750, 0.878)
In (0.750, 0.507, 0.378)
In (0.750, 0.993, 0.378)
In (0.993, 0.750, 0.878)
Ni (0.064, 0.250, 0.419)
Ni (0.250, 0.064, 0.919)
Ni (0.250, 0.436, 0.919)
Ni (0.436, 0.250, 0.419)
Ni (0.564, 0.750, 0.581)
Ni (0.750, 0.564, 0.081)
Ni (0.750, 0.936, 0.081)
Ni (0.936, 0.750, 0.581)


--- Q ---
## AcIn4Ni4 (PBE-GGA)

Data for a relaxed AcIn4Ni4 crystal.

Calculated density: 7988 kg/m3
Total moment: 0.000 μB per formula unit
Space-group type: P4_2/n (86)

Cell: 8.675 8.675 5.089 Å, 90.00 90.00 90.00°
Element x y z (fractional)
Ac (0.250, 0.250, 0.250)
Ac (0.750, 0.750, 0.750)
In (0.102, 0.636, 0.151)
In (0.136, 0.898, 0.651)
In (0.364, 0.602, 0.651)
In (0.398, 0.864, 0.151)
In (0.602, 0.136, 0.849)
In (0.636, 0.398, 0.349)
In (0.864, 0.102, 0.349)
In (0.898, 0.364, 0.849)
Ni (0.060, 0.590, 0.650)
Ni (0.090, 0.940, 0.150)
Ni (0.410, 0.560, 0.150)
Ni (0.440, 0.910, 0.650)
Ni (0.560, 0.090, 0.350)
Ni (0.590, 0.440, 0.850)
Ni (0.910, 0.060, 0.850)
Ni (0.940, 0.410, 0.350)


Stability verdict: P, ahead by 75 meV/atom


--- P ---
## Ac4In2Ni (PBE-GGA)

Data for a relaxed Ac4In2Ni crystal.

Calculated density: 8018 kg/m3
Total moment: 0.000 μB per formula unit
Space-group type: P2_1/m (11)

Cell: 6.696 7.430 10.184 Å, 90.00 102.07 90.00°
Element x y z (fractional)
Ac (0.196, 0.250, 0.100)
Ac (0.270, 0.502, 0.753)
Ac (0.270, 0.998, 0.753)
Ac (0.295, 0.750, 0.400)
Ac (0.705, 0.250, 0.600)
Ac (0.730, 0.002, 0.247)
Ac (0.730, 0.498, 0.247)
Ac (0.804, 0.750, 0.900)
In (0.139, 0.250, 0.452)
In (0.316, 0.750, 0.059)
In (0.684, 0.250, 0.941)
In (0.861, 0.750, 0.548)
Ni (0.459, 0.250, 0.346)
Ni (0.541, 0.750, 0.654)


--- Q ---
## Ac4In2Ni (PBE-GGA)

Data for a relaxed Ac4In2Ni crystal.

Calculated density: 7623 kg/m3
Total moment: 0.000 μB per formula unit
Space-group type: I4/mmm (139)

Cell: 9.478 9.478 9.478 Å, 146.33 146.33 48.35°
Element x y z (fractional)
Ac (0.000, 0.500, 0.500)
Ac (0.179, 0.179, 0.000)
Ac (0.500, 0.000, 0.500)
Ac (0.821, 0.821, 0.000)
In (0.370, 0.370, 0.000)
In (0.630, 0.630, 0.000)
Ni (0.000, 0.000, 0.000)


Stability verdict: P, ahead by 54 meV/atom


--- P ---
## Ac3InNi (PBE-GGA)

Data for a relaxed Ac3InNi crystal.

Calculated density: 8027 kg/m3
Total moment: 0.000 μB per formula unit
Space-group type: P2_1/c (14)

Cell: 10.340 7.209 10.370 Å, 90.00 113.82 90.00°
Element x y z (fractional)
Ac (0.081, 0.071, 0.359)
Ac (0.081, 0.429, 0.859)
Ac (0.204, 0.579, 0.557)
Ac (0.204, 0.921, 0.057)
Ac (0.382, 0.095, 0.771)
Ac (0.382, 0.405, 0.271)
Ac (0.618, 0.595, 0.729)
Ac (0.618, 0.905, 0.229)
Ac (0.796, 0.079, 0.943)
Ac (0.796, 0.421, 0.443)
Ac (0.919, 0.571, 0.141)
Ac (0.919, 0.929, 0.641)
In (0.412, 0.658, 0.924)
In (0.412, 0.842, 0.424)
In (0.588, 0.158, 0.576)
In (0.588, 0.342, 0.076)
Ni (0.086, 0.239, 0.614)
Ni (0.086, 0.261, 0.114)
Ni (0.914, 0.739, 0.886)
Ni (0.914, 0.761, 0.386)


--- Q ---
## Ac3InNi (PBE-GGA)

Data for a relaxed Ac3InNi crystal.

Calculated density: 7889 kg/m3
Total moment: 0.000 μB per formula unit
Space-group type: Pm-3m (221)

Cell: 5.645 5.645 5.645 Å, 90.00 90.00 90.00°
Element x y z (fractional)
Ac (0.000, 0.000, 0.500)
Ac (0.000, 0.500, 0.000)
Ac (0.500, 0.000, 0.000)
In (0.500, 0.500, 0.500)
Ni (0.000, 0.000, 0.000)


Stability verdict: P, ahead by 66 meV/atom